{
  "formula": "MgRe2Mo",
  "functional": "GGA-PBEsol",
  "state": "relaxed",
  "m_tot_mub_per_cell": 0.00,
  "space_group": "Cmmm (65)",
  "delta_e_f_ev_per_atom": 0.4540,
  "final_energy_ev_per_atom": -9.5832,
  "lattice": [[2.676, -4.261, 0.000], [2.676, 4.261, 0.000], [0.000, 0.000, 2.679]],
  "species": ["Mg", "Re", "Re", "Mo"],
  "fractional_positions": [[0.000, 0.000, 0.000], [0.000, 0.500, 0.500], [0.500, 0.000, 0.500], [0.500, 0.500, 0.000]]
}